1.
# Li2TmCl5, relaxed, DFT GGA-PBE
# energy	-4.167	eV/atom
# D(E_F)	0.0	states/eV/f.u.
data_Li2TmCl5
_space_group_name_H-M_alt 'P 1'
_space_group_IT_number 1
_space_group_name_Hall 'P 1'
_cell_length_a 6.619
_cell_length_b 7.333
_cell_length_c 7.333
_cell_angle_alpha 66.28
_cell_angle_beta 59.30
_cell_angle_gamma 59.30
loop_
_atom_site_label
_atom_site_type_symbol
_atom_site_fract_x
_atom_site_fract_y
_atom_site_fract_z
Li1 Li 0.635 0.591 0.014
Li2 Li 0.635 0.014 0.591
Tm1 Tm 0.958 0.022 0.022
Cl1 Cl 0.546 0.277 0.277
Cl2 Cl 0.062 0.350 0.816
Cl3 Cl 0.062 0.816 0.350
Cl4 Cl 0.399 0.778 0.778
Cl5 Cl 0.703 0.929 0.929


2.
# LiTm2Cl5, relaxed, DFT GGA-PBE
# energy	-4.252	eV/atom
# D(E_F)	1.9	states/eV/f.u.
data_LiTm2Cl5
_space_group_name_H-M_alt 'P 1'
_space_group_IT_number 1
_space_group_name_Hall 'P 1'
_cell_length_a 9.990
_cell_length_b 9.990
_cell_length_c 7.616
_cell_angle_alpha 116.23
_cell_angle_beta 116.23
_cell_angle_gamma 37.32
loop_
_atom_site_label
_atom_site_type_symbol
_atom_site_fract_x
_atom_site_fract_y
_atom_site_fract_z
Li1 Li 0.500 0.000 0.000
Li2 Li 0.000 0.500 0.500
Tm1 Tm 0.820 0.280 0.998
Tm2 Tm 0.180 0.720 0.002
Tm3 Tm 0.720 0.180 0.502
Tm4 Tm 0.280 0.820 0.498
Cl1 Cl 0.898 0.102 0.250
Cl2 Cl 0.119 0.264 0.195
Cl3 Cl 0.339 0.482 0.263
Cl4 Cl 0.881 0.736 0.805
Cl5 Cl 0.661 0.518 0.737
Cl6 Cl 0.102 0.898 0.750
Cl7 Cl 0.264 0.119 0.695
Cl8 Cl 0.482 0.339 0.763
Cl9 Cl 0.736 0.881 0.305
Cl10 Cl 0.518 0.661 0.237


3.
# Li6UCl12, relaxed, DFT GGA-PBE
# energy	-3.977	eV/atom
data_Li6UCl12
_space_group_name_H-M_alt 'P 1'
_space_group_IT_number 1
_space_group_name_Hall 'P 1'
_cell_length_a 7.788
_cell_length_b 7.788
_cell_length_c 7.788
_cell_angle_alpha 95.97
_cell_angle_beta 95.97
_cell_angle_gamma 95.97
loop_
_atom_site_label
_atom_site_type_symbol
_atom_site_fract_x
_atom_site_fract_y
_atom_site_fract_z
Li1 Li 0.586 0.800 0.390
Li2 Li 0.610 0.414 0.200
Li3 Li 0.200 0.610 0.414
Li4 Li 0.414 0.200 0.610
Li5 Li 0.390 0.586 0.800
Li6 Li 0.800 0.390 0.586
U1 U 0.000 0.000 0.000
Cl1 Cl 0.820 0.614 0.402
Cl2 Cl 0.402 0.820 0.614
Cl3 Cl 0.614 0.402 0.820
Cl4 Cl 0.180 0.386 0.598
Cl5 Cl 0.598 0.180 0.386
Cl6 Cl 0.386 0.598 0.180
Cl7 Cl 0.103 0.959 0.302
Cl8 Cl 0.041 0.698 0.897
Cl9 Cl 0.698 0.897 0.041
Cl10 Cl 0.897 0.041 0.698
Cl11 Cl 0.959 0.302 0.103
Cl12 Cl 0.302 0.103 0.959